Density functional theory data (PBE-GGA) for a geometry-optimized TlZn2Co structure.

Cell lengths 3.154, 4.118, 5.141 Å; angles 90.00, 90.17, 90.00 degrees
Space group Pm (No. 6)
Symmetry-distinct sites (fractional):
1 Tl 0.000 0.000 0.000
2 Zn 0.498 0.000 0.513
3 Zn 0.997 0.500 0.411
4 Co 0.500 0.500 0.798

---

Density functional theory data (PBE-GGA) for a geometry-optimized Tl2ZnCo structure.

Cell lengths 4.657, 3.437, 5.531 Å; angles 90.00, 113.10, 90.00 degrees
Space group P2/m (No. 10)
Symmetry-distinct sites (fractional):
1 Tl 0.000 0.000 0.000
2 Tl 0.000 0.500 0.500
3 Zn 0.500 0.000 0.500
4 Co 0.500 0.500 0.000

---

Density functional theory data (PBE-GGA) for a geometry-optimized TlZnCo3 structure.

Cell lengths 4.410, 4.410, 4.410 Å; angles 90.00, 90.00, 90.00 degrees
Space group Pm-3m (No. 221)
Symmetry-distinct sites (fractional):
1 Tl 0.000 0.000 0.000
2 Zn 0.500 0.500 0.500
3 Co 0.000 0.500 0.500

---

Density functional theory data (PBE-GGA) for a geometry-optimized TlZn2Co structure.

Cell lengths 6.325, 6.325, 6.325 Å; angles 90.00, 90.00, 90.00 degrees
Space group F-43m (No. 216)
Symmetry-distinct sites (fractional):
1 Tl 0.000 0.000 0.000
2 Zn 0.000 0.000 0.500
3 Zn 0.250 0.250 0.750
4 Co 0.250 0.250 0.250

---

Density functional theory data (PBE-GGA) for a geometry-optimized Tl2ZnCo structure.

Cell lengths 6.839, 6.839, 6.839 Å; angles 90.00, 90.00, 90.00 degrees
Space group Fm-3m (No. 225)
Symmetry-distinct sites (fractional):
1 Tl 0.250 0.250 0.250
2 Zn 0.000 0.000 0.000
3 Co 0.000 0.000 0.500

---

Density functional theory data (PBE-GGA) for a geometry-optimized TlZn2Co structure.

Cell lengths 2.945, 4.451, 10.248 Å; angles 90.00, 90.00, 90.00 degrees
Space group Immm (No. 71)
Symmetry-distinct sites (fractional):
1 Tl 0.000 0.000 0.000
2 Zn 0.000 0.500 0.204
3 Co 0.000 0.000 0.500

---

Density functional theory data (PBE-GGA) for a geometry-optimized Tl2ZnCo structure.

Cell lengths 3.212, 3.212, 8.056 Å; angles 90.00, 90.00, 90.00 degrees
Space group P4mm (No. 99)
Symmetry-distinct sites (fractional):
1 Tl 0.000 0.000 0.000
2 Tl 0.500 0.500 0.356
3 Zn 0.000 0.000 0.637
4 Co 0.500 0.500 0.769

---

Density functional theory data (PBE-GGA) for a geometry-optimized ZrTlCo4 structure.

Cell lengths 6.956, 6.956, 6.956 Å; angles 90.00, 90.00, 90.00 degrees
Space group F-43m (No. 216)
Symmetry-distinct sites (fractional):
1 Zr 0.000 0.000 0.000
2 Tl 0.250 0.250 0.250
3 Co 0.125 0.125 0.625

---

Density functional theory data (PBE-GGA) for a geometry-optimized ZrTlCo2 structure.

Cell lengths 3.2275, 3.2275, 23.2503 Å; angles 90.00, 90.00, 120.00 degrees
Space group R-3m (No. 166, hexagonal axes)
Symmetry-distinct sites (fractional):
1 Zr 0.0000 0.0000 0.0000
2 Tl 0.0000 0.0000 0.5000
3 Co 0.0000 0.0000 0.2541

---

Density functional theory data (PBE-GGA) for a geometry-optimized Zr6Tl3Co structure.

Cell lengths 10.609, 6.376, 7.298 Å; angles 90.00, 105.76, 90.00 degrees
Space group C2/m (No. 12)
Symmetry-distinct sites (fractional):
1 Zr 0.114 0.244 0.358
2 Zr 0.166 0.500 0.833
3 Tl 0.000 0.000 0.000
4 Tl 0.175 0.000 0.741
5 Co 0.000 0.500 0.500

---

Density functional theory data (PBE-GGA) for a geometry-optimized ZrTlCo2 structure.

Cell lengths 3.9050, 3.9050, 16.4427 Å; angles 90.00, 90.00, 120.00 degrees
Space group R3m (No. 160, hexagonal axes)
Symmetry-distinct sites (fractional):
1 Zr 0.0000 0.0000 0.0000
2 Tl 0.0000 0.0000 0.1960
3 Co 0.0000 0.0000 0.4255
4 Co 0.0000 0.0000 0.7592

---

Density functional theory data (PBE-GGA) for a geometry-optimized ZrTlCo2 structure.

Cell lengths 8.500, 3.237, 5.141 Å; angles 90.00, 105.46, 90.00 degrees
Space group C2/m (No. 12)
Symmetry-distinct sites (fractional):
1 Zr 0.000 0.000 0.000
2 Tl 0.000 0.500 0.500
3 Co 0.246 0.500 0.214

---

no.,calculated volume (Å³ per cell),formation enthalpy at 0 K (eV/atom)
1,66.8,0.2792
2,81.4,0.5271
3,85.8,1.0451
4,253.1,0.3929
5,319.8,0.5592
6,134.4,0.2377
7,83.1,0.2938
8,336.6,-0.0388
9,209.8,0.3435
10,475.1,0.1297
11,217.1,0.1072
12,136.3,0.2472